Entry from Alexandria via LeMat-Bulk: a relaxed structure of RbCoRh3 (PBE-GGA).

Cell: 4.663 4.663 4.663 Å, 90.00 90.00 90.00°
Site moments in Bohr magnetons follow the coordinates.
Positions (direct):
Co1 0.000 0.000 0.000  1.74
Rh1 0.000 0.500 0.000  0.82
Rh2 0.000 0.000 0.500  1.22
Rh3 0.500 0.000 0.000  0.49
Rb1 0.500 0.500 0.500  -0.02

Output
Space-group type: Pm-3m, No. 221
ΔE_f, eV/atom: 0.97
ΔE to the lowest computed polymorph, eV per atom: 0.000
Raw total energy, eV/cell: -25.30

Entry from Alexandria via LeMat-Bulk: a relaxed structure of RbCo3Rh (PBE-GGA).

Cell: 4.769 4.769 4.769 Å, 90.00 90.00 90.00°
Site moments in Bohr magnetons follow the coordinates.
Positions (direct):
Co1 0.000 0.500 0.000  2.22
Co2 0.000 0.000 0.500  2.55
Co3 0.500 0.000 0.000  1.45
Rh1 0.000 0.000 0.000  0.83
Rb1 0.500 0.500 0.500  -0.02

Output
Space-group type: Pm-3m, No. 221
ΔE_f, eV/atom: 1.18
ΔE to the lowest computed polymorph, eV per atom: 0.000
Raw total energy, eV/cell: -23.74

Entry from Alexandria via LeMat-Bulk: a relaxed structure of RbCoRu2Rh (PBE-GGA).

Cell: 4.464 5.304 4.464 Å, 90.00 90.00 90.00°
Site moments in Bohr magnetons follow the coordinates.
Positions (direct):
Ru1 0.000 0.000 0.500  1.14
Ru2 0.500 0.000 0.000  1.07
Rh1 0.500 0.500 0.500  0.99
Rb1 0.000 0.500 0.000  0.00
Co1 0.000 0.000 0.000  0.60

Output
Space-group type: P4/mmm, No. 123
ΔE_f, eV/atom: 1.89
Raw total energy, eV/cell: -24.53

Entry from Alexandria via LeMat-Bulk: a relaxed structure of Rb2CoRhS4 (PBE-GGA).

Cell: 5.386 7.343 11.828 Å, 85.21 76.84 68.49°
Site moments in Bohr magnetons follow the coordinates.
Positions (direct):
Rb1 0.179 0.000 0.641  0.00
Rb2 0.821 0.000 0.359  0.00
Rb3 0.571 0.500 0.859  0.00
Rb4 0.929 0.500 0.141  0.00
Co1 0.250 0.500 0.500  0.95
Co2 0.500 0.000 0.000  0.95
Rh1 0.750 0.500 0.500  -0.04
Rh2 0.000 0.000 0.000  -0.04
S1 0.303 0.816 0.108  0.02
S2 0.228 0.184 0.892  0.02
S3 0.881 0.816 0.892  0.02
S4 0.589 0.184 0.108  0.02
S5 0.447 0.684 0.392  0.02
S6 0.522 0.316 0.608  0.02
S7 0.869 0.684 0.608  0.02
S8 0.161 0.316 0.392  0.02

Output
Energy relative to the elements, uncorrected, meV/atom: -651
Space-group type: Fddd, No. 70
Raw total energy, eV/cell: -76.23

Entry from Alexandria via LeMat-Bulk: a relaxed structure of Rb2CoRh2S6 (PBE-GGA).

Cell: 6.202 6.202 7.707 Å, 98.24 98.24 120.26°
Site moments in Bohr magnetons follow the coordinates.
Positions (direct):
Rb1 0.831 0.169 0.000  0.00
Rb2 0.169 0.831 0.000  0.00
Co1 0.000 0.000 0.500  0.29
Rh1 0.331 0.669 0.500  0.07
Rh2 0.669 0.331 0.500  0.07
S1 0.732 0.732 0.655  0.02
S2 0.058 0.375 0.657  0.02
S3 0.268 0.268 0.345  0.02
S4 0.375 0.058 0.657  0.02
S5 0.942 0.625 0.343  0.02
S6 0.625 0.942 0.343  0.02

Output
Energy relative to the elements, uncorrected, meV/atom: -620
Space-group type: C2/m, No. 12
Raw total energy, eV/cell: -55.33

Entry from Alexandria via LeMat-Bulk: a relaxed structure of Rb3CoRh2Se6 (PBE-GGA).

Cell: 6.713 6.713 7.730 Å, 98.32 98.32 119.99°
Positions (direct):
Rb1 0.170 0.830 0.500
Rb2 0.830 0.170 0.500
Rb3 0.500 0.500 0.500
Co1 0.000 0.000 0.000
Rh1 0.333 0.667 0.000
Rh2 0.667 0.333 0.000
Se1 0.947 0.624 0.843
Se2 0.729 0.729 0.158
Se3 0.053 0.376 0.157
Se4 0.624 0.947 0.843
Se5 0.271 0.271 0.842
Se6 0.376 0.053 0.157

Output
Energy relative to the elements, uncorrected, meV/atom: -631
Space-group type: C2/m, No. 12
Raw total energy, eV/cell: -53.19

Entry from Alexandria via LeMat-Bulk: a relaxed structure of RbYCoRh2 (PBE-GGA).

Cell: 4.787 4.935 4.787 Å, 90.00 90.00 90.00°
Site moments in Bohr magnetons follow the coordinates.
Positions (direct):
Y1 0.000 0.500 0.000  -0.19
Co1 0.000 0.000 0.000  1.21
Rh1 0.000 0.000 0.500  0.64
Rh2 0.500 0.000 0.000  0.26
Rb1 0.500 0.500 0.500  -0.02

Output
Space-group type: P4/mmm, No. 123
ΔE_f, eV/atom: 0.53
Raw total energy, eV/cell: -26.59

Entry from Alexandria via LeMat-Bulk: a relaxed structure of Rb3CoRu (PBE-GGA).

Cell: 6.418 6.418 6.418 Å, 90.00 90.00 90.00°
Site moments in Bohr magnetons follow the coordinates.
Positions (direct):
Ru1 0.000 0.000 0.000  1.78
Co1 0.500 0.500 0.500  2.13
Rb1 0.000 0.500 0.000  0.01
Rb2 0.000 0.000 0.500  0.00
Rb3 0.500 0.000 0.000  0.02

Output
Space-group type: Pm-3m, No. 221
ΔE_f, eV/atom: 1.55
ΔE to the lowest computed polymorph, eV per atom: 0.000
Raw total energy, eV/cell: -11.55

Entry from Alexandria via LeMat-Bulk: a relaxed structure of RbCo2Ru2 (PBE-GGA).

Cell: 7.912 7.912 2.640 Å, 90.00 90.00 90.00°
Site moments in Bohr magnetons follow the coordinates.
Positions (direct):
Ru1 0.121 0.621 0.500  0.53
Ru2 0.621 0.879 0.500  0.52
Ru3 0.879 0.379 0.500  0.53
Ru4 0.379 0.121 0.500  0.52
Co1 0.341 0.841 0.000  1.62
Co2 0.841 0.659 0.000  1.60
Co3 0.659 0.159 0.000  1.62
Co4 0.159 0.341 0.000  1.60
Rb1 0.000 0.000 0.000  0.00
Rb2 0.500 0.500 0.000  0.00

Output
Space-group type: P4/mbm, No. 127
ΔE_f, eV/atom: 0.85
ΔE to the lowest computed polymorph, eV per atom: 0.005
Raw total energy, eV/cell: -58.91

Entry from Alexandria via LeMat-Bulk: a relaxed structure of RbCoRu2 (PBE-GGA).

Cell: 4.936 4.936 8.984 Å, 74.05 74.05 90.00°
Site moments in Bohr magnetons follow the coordinates.
Positions (direct):
Ru1 0.375 0.125 0.250  0.83
Ru2 0.375 0.625 0.250  0.86
Ru3 0.375 0.625 0.750  0.79
Ru4 0.875 0.625 0.750  0.87
Co1 0.500 0.500 0.000  1.49
Co2 0.250 0.750 0.500  1.49
Rb1 0.000 0.000 0.000  0.00
Rb2 0.750 0.250 0.500  0.00

Output
Space-group type: I4_1/amd, No. 141
ΔE_f, eV/atom: 1.42
ΔE to the lowest computed polymorph, eV per atom: 0.000
Raw total energy, eV/cell: -41.86

Entry from Alexandria via LeMat-Bulk: a relaxed structure of RbCo2Ru2 (PBE-GGA).

Cell: 4.192 4.192 6.952 Å, 72.45 72.45 90.00°
Site moments in Bohr magnetons follow the coordinates.
Positions (direct):
Ru1 0.750 0.250 0.500  0.59
Ru2 0.250 0.750 0.500  0.59
Co1 0.333 0.333 0.334  1.27
Co2 0.667 0.667 0.666  1.27
Rb1 0.000 0.000 0.000  0.00

Output
Space-group type: I4/mmm, No. 139
ΔE_f, eV/atom: 0.85
ΔE to the lowest computed polymorph, eV per atom: 0.000
Raw total energy, eV/cell: -29.48

Entry from Alexandria via LeMat-Bulk: a relaxed structure of RbCoRu2 (PBE-GGA).

Cell: 4.519 4.519 4.519 Å, 60.00 60.00 60.00°
Positions (direct):
Ru1 0.250 0.250 0.250
Ru2 0.750 0.750 0.750
Co1 0.000 0.000 0.000
Rb1 0.500 0.500 0.500

Output
Space-group type: Fm-3m, No. 225
ΔE_f, eV/atom: 1.85
ΔE to the lowest computed polymorph, eV per atom: 0.422
Raw total energy, eV/cell: -19.24